Density functional theory data (GGA+U) for a relaxed PaTl4V3O12 crystal.

Geometry as CIF:
```
data_PaTl4V3O12
_chemical_formula_sum 'Pa1 Tl4 V3 O12'
_space_group_name_H-M_alt 'P 1'
_space_group_IT_number 1
_cell_length_a 7.010
_cell_length_b 7.010
_cell_length_c 7.010
_cell_angle_alpha 109.47
_cell_angle_beta 109.47
_cell_angle_gamma 109.47
loop_
_space_group_symop_operation_xyz
'x,y,z'
loop_
_atom_site_label
_atom_site_fract_x
_atom_site_fract_y
_atom_site_fract_z
Pa1 0.000 0.000 0.000
Tl1 0.500 0.500 0.500
Tl2 0.000 0.000 0.500
Tl3 0.500 0.000 0.000
Tl4 0.000 0.500 0.000
V1 0.500 0.000 0.500
V2 0.500 0.500 0.000
V3 0.000 0.500 0.500
O1 0.250 0.500 0.750
O2 0.731 0.000 0.731
O3 0.269 0.000 0.269
O4 0.750 0.500 0.250
O5 0.731 0.731 0.000
O6 0.269 0.269 0.000
O7 0.750 0.250 0.500
O8 0.250 0.750 0.500
O9 0.500 0.250 0.750
O10 0.000 0.731 0.731
O11 0.500 0.750 0.250
O12 0.000 0.269 0.269
```

spin magnetization = 0.18 μB/f.u.
symmetry = Im-3m (229)
raw total energy = -6.670 eV/atom